# 1
{
  "formula": "Sr2Zn4Ga3Pb",
  "functional": "PBE",
  "state": "optimized geometry",
  "formation_enthalpy_0k_ev_per_atom": -0.31,
  "spacegroup": "P-4m2",
  "dos_ef_per_ev_atom": 0.48,
  "cell": [[4.496, 0.000, 0.000], [0.000, 4.496, 0.000], [0.000, 0.000, 11.105]],
  "species": ["Sr", "Sr", "Zn", "Zn", "Zn", "Zn", "Ga", "Ga", "Ga", "Pb"],
  "fractional_positions": [[0.000, 0.500, 0.236], [0.500, 0.000, 0.764], [0.000, 0.000, 0.000], [0.000, 0.500, 0.652], [0.500, 0.000, 0.348], [0.500, 0.500, 0.000], [0.000, 0.500, 0.877], [0.500, 0.000, 0.123], [0.500, 0.500, 0.500], [0.000, 0.000, 0.500]]
}

=====

# 2
{
  "formula": "Sr2Zn3Ga4Pb",
  "functional": "PBE",
  "state": "optimized geometry",
  "formation_enthalpy_0k_ev_per_atom": -0.31,
  "spacegroup": "P-4m2",
  "dos_ef_per_ev_atom": 0.37,
  "cell": [[4.517, 0.000, 0.000], [0.000, 4.517, 0.000], [0.000, 0.000, 11.153]],
  "species": ["Sr", "Sr", "Zn", "Zn", "Zn", "Ga", "Ga", "Ga", "Ga", "Pb"],
  "fractional_positions": [[0.000, 0.500, 0.237], [0.500, 0.000, 0.763], [0.000, 0.500, 0.878], [0.500, 0.000, 0.122], [0.500, 0.500, 0.500], [0.000, 0.000, 0.000], [0.000, 0.500, 0.653], [0.500, 0.000, 0.347], [0.500, 0.500, 0.000], [0.000, 0.000, 0.500]]
}

=====

# 3
{
  "formula": "Ta2Ga2Pb",
  "functional": "PBE",
  "state": "optimized geometry",
  "formation_enthalpy_0k_ev_per_atom": 0.31,
  "spacegroup": "I4/mmm",
  "dos_ef_per_ev_atom": 0.20,
  "e_above_lowest_polymorph_mev_per_atom": 110.2,
  "cell": [[-1.878, 1.878, 6.899], [1.878, -1.878, 6.899], [1.878, 1.878, -6.899]],
  "species": ["Ta", "Ta", "Ga", "Ga", "Pb"],
  "fractional_positions": [[0.101, 0.101, 0.000], [0.899, 0.899, 0.000], [0.250, 0.750, 0.500], [0.750, 0.250, 0.500], [0.500, 0.500, 0.000]]
}

=====

# 4
{
  "formula": "TaGaPb3",
  "functional": "PBE",
  "state": "optimized geometry",
  "formation_enthalpy_0k_ev_per_atom": 1.32,
  "spacegroup": "Pm-3m",
  "dos_ef_per_ev_atom": 1.68,
  "e_above_lowest_polymorph_mev_per_atom": 751.4,
  "cell": [[5.327, 0.000, 0.000], [0.000, 5.327, 0.000], [0.000, 0.000, 5.327]],
  "species": ["Ta", "Ga", "Pb", "Pb", "Pb"],
  "fractional_positions": [[0.000, 0.000, 0.000], [0.500, 0.500, 0.500], [0.000, 0.500, 0.500], [0.500, 0.000, 0.500], [0.500, 0.500, 0.000]]
}

=====

# 5
{
  "formula": "TaGa3Pb",
  "functional": "PBE",
  "state": "optimized geometry",
  "formation_enthalpy_0k_ev_per_atom": 0.41,
  "spacegroup": "Pm-3m",
  "dos_ef_per_ev_atom": 0.40,
  "e_above_lowest_polymorph_mev_per_atom": 0.0,
  "cell": [[5.068, 0.000, 0.000], [0.000, 5.068, 0.000], [0.000, 0.000, 5.068]],
  "species": ["Ta", "Ga", "Ga", "Ga", "Pb"],
  "fractional_positions": [[0.000, 0.000, 0.000], [0.000, 0.000, 0.500], [0.000, 0.500, 0.000], [0.500, 0.000, 0.000], [0.500, 0.500, 0.500]]
}

=====

# 6
{
  "formula": "TaGaPb3",
  "functional": "PBE",
  "state": "optimized geometry",
  "formation_enthalpy_0k_ev_per_atom": 0.56,
  "spacegroup": "Pm-3m",
  "dos_ef_per_ev_atom": 0.73,
  "e_above_lowest_polymorph_mev_per_atom": 0.0,
  "cell": [[5.528, 0.000, 0.000], [0.000, 5.528, 0.000], [0.000, 0.000, 5.528]],
  "species": ["Ta", "Ga", "Pb", "Pb", "Pb"],
  "fractional_positions": [[0.000, 0.000, 0.000], [0.500, 0.500, 0.500], [0.000, 0.000, 0.500], [0.000, 0.500, 0.000], [0.500, 0.000, 0.000]]
}

=====

# 7
{
  "formula": "TaGaPb2",
  "functional": "PBE",
  "state": "optimized geometry",
  "formation_enthalpy_0k_ev_per_atom": 1.09,
  "spacegroup": "I-42d",
  "dos_ef_per_ev_atom": 0.20,
  "cell": [[-3.226, 3.226, 6.539], [3.226, -3.226, 6.539], [3.226, 3.226, -6.539]],
  "species": ["Ta", "Ta", "Ga", "Ga", "Pb", "Pb", "Pb", "Pb"],
  "fractional_positions": [[0.000, 0.000, 0.000], [0.750, 0.250, 0.500], [0.250, 0.750, 0.500], [0.500, 0.500, 0.000], [0.118, 0.625, 0.993], [0.375, 0.368, 0.493], [0.632, 0.125, 0.007], [0.875, 0.882, 0.507]]
}

=====

# 8
{
  "formula": "TaGa3Pb",
  "functional": "PBE",
  "state": "optimized geometry",
  "formation_enthalpy_0k_ev_per_atom": 1.58,
  "spacegroup": "Pm-3m",
  "dos_ef_per_ev_atom": 1.19,
  "e_above_lowest_polymorph_mev_per_atom": 1170.3,
  "cell": [[5.271, 0.000, 0.000], [0.000, 5.271, 0.000], [0.000, 0.000, 5.271]],
  "species": ["Ta", "Ga", "Ga", "Ga", "Pb"],
  "fractional_positions": [[0.000, 0.000, 0.000], [0.000, 0.500, 0.500], [0.500, 0.000, 0.500], [0.500, 0.500, 0.000], [0.500, 0.500, 0.500]]
}

=====

Total DFT energy (no corrections), record by record: -2.433, -2.611, -6.383, -3.885, -4.516, -4.637, -4.487, -3.345 eV per atom
Mass density, record by record: 6313, 6259, 12086, 9583, 7622, 8573, 8115, 6774 kg/m3